A relaxed structure of TaVCoO6. Source: Alexandria via LeMat-Bulk, functional GGA+U.

V ... 11.02 Å³ per atom
Density ... 6.48 g/cm3
E_tot ... -8.05 eV/atom

abc: 4.7115 4.7115 8.9329
angles: 90.00 90.00 90.00
Last column: nearest neighbours and their distance in Å.
Space group P4_2nm (No. 102)
One atom of each set of equivalent atoms:
1 Ta 0.0000 0.0000 0.0000 [2 per cell]  6 O 1.97-2.02
2 V 0.0000 0.0000 0.3391 [2 per cell]  6 O 1.90-1.92
3 Co 0.0000 0.0000 0.6716 [2 per cell]  6 O 2.09-2.11
4 O 0.1872 0.1872 0.1784 [4 per cell]  1 V 1.90, 1 Ta 2.02, 1 Co 2.09
5 O 0.1991 0.1991 0.4907 [4 per cell]  1 V 1.90, 1 Ta 2.01, 1 Co 2.09
6 O 0.2124 0.2124 0.8472 [4 per cell]  1 V 1.92, 1 Ta 1.97, 1 Co 2.11